Entry from Alexandria: crystalline DyMnAg2F6 at its relaxed geometry (PBE+U).

Unit cell a=6.0738 b=6.0748 c=6.0765 alpha=60.15 beta=60.07 gamma=60.18
With the nearest neighbours (Å) after each atom.
Fractional coordinates of all 10 atoms:
Dy: 0.0000 0.0000 0.0000  6 F 2.21
Mn: 0.5000 0.5000 0.5000  6 F 2.16
Ag: 0.2509 0.2504 0.2487  3 F 2.65-2.66
Ag: 0.7491 0.7496 0.7513  3 F 2.65-2.66
F: 0.1881 0.7440 0.7510  1 Mn 2.16, 1 Dy 2.21
F: 0.2544 0.2502 0.6824  1 Mn 2.16, 1 Dy 2.21
F: 0.3146 0.7482 0.1903  1 Mn 2.16, 1 Dy 2.21
F: 0.6854 0.2518 0.8097  1 Mn 2.16, 1 Dy 2.21
F: 0.7456 0.7498 0.3176  1 Mn 2.16, 1 Dy 2.21
F: 0.8119 0.2560 0.2490  1 Mn 2.16, 1 Dy 2.21

Computed properties:
VASP energy: -5.3082 eV/atom
total magnetization: 5.0 μB per formula unit